VASP calculation (PBE-GGA) on a geometry-optimized Li2Cd2InAg5 structure.

a = 4.2980 Å, b = 9.3322 Å, c = 9.3322 Å
α = 90.00°, β = 90.00°, γ = 90.00°
Last column: nearest neighbours and their distance in Å.
Positions (direct):
1 Li 0.0000 0.8750 0.3750  6 Ag 2.71-2.72, 3 Cd 2.73-2.77
2 Li 0.0000 0.1250 0.6250  6 Ag 2.71-2.72, 3 Cd 2.73-2.77
3 Li 0.0000 0.3750 0.1250  6 Ag 2.71-2.72, 3 Cd 2.73-2.77
4 Li 0.0000 0.6250 0.8750  6 Ag 2.71-2.72, 3 Cd 2.73-2.77
5 Ag 0.5000 0.1999 0.0867  2 Li 2.72, 4 Ag 2.82-2.92, 2 In 2.96
6 Ag 0.5000 0.4133 0.3001  2 Li 2.72, 4 Ag 2.82-2.92, 2 In 2.96
7 Ag 0.5000 0.0867 0.8001  2 Li 2.72, 4 Ag 2.82-2.92, 2 In 2.96
8 Ag 0.5000 0.0000 0.5000  4 Li 2.71, 4 Ag 2.92
9 Ag 0.5000 0.9133 0.1999  2 Li 2.72, 4 Ag 2.82-2.92, 2 In 2.96
10 Ag 0.5000 0.5867 0.6999  2 Li 2.72, 4 Ag 2.82-2.92, 2 In 2.96
11 Ag 0.5000 0.3001 0.5867  2 Li 2.72, 4 Ag 2.82-2.92, 2 In 2.96
12 Ag 0.5000 0.8001 0.9133  2 Li 2.72, 4 Ag 2.82-2.92, 2 In 2.96
13 Ag 0.5000 0.5000 0.0000  4 Li 2.71, 4 Ag 2.92
14 Ag 0.5000 0.6999 0.4133  2 Li 2.72, 4 Ag 2.82-2.92, 2 In 2.96
15 Cd 0.0000 0.3316 0.8316  3 Li 2.73-2.77
16 Cd 0.0000 0.6684 0.1684  3 Li 2.73-2.77
17 Cd 0.0000 0.8316 0.6684  3 Li 2.73-2.77
18 Cd 0.0000 0.1684 0.3316  3 Li 2.73-2.77
19 In 0.0000 0.0000 0.0000  8 Ag 2.96
20 In 0.0000 0.5000 0.5000  8 Ag 2.96

Properties
Total energy   -46.8 eV per cell
Formation enthalpy at 0 K   -0.07 eV per atom

VASP calculation (PBE-GGA) on a geometry-optimized TlVC2 structure.

a = 5.0032 Å, b = 5.0032 Å, c = 5.9323 Å
α = 65.06°, β = 65.06°, γ = 90.00°
Last column: nearest neighbours and their distance in Å.
Positions (direct):
1 Tl 0.7500 0.2500 0.5000  4 C 2.36
2 Tl 0.0000 0.0000 0.0000  4 C 2.36
3 V 0.2500 0.7500 0.5000  4 C 1.94
4 V 0.5000 0.5000 0.0000  4 C 1.94
5 C 0.8750 0.8024 0.7500  2 V 1.94
6 C 0.5524 0.1250 0.2500  2 V 1.94
7 C 0.3750 0.4476 0.7500  2 V 1.94
8 C 0.1976 0.6250 0.2500  2 V 1.94

Properties
Total energy   -52.5 eV per cell
Formation enthalpy at 0 K   0.92 eV per atom
Energy above the most stable polymorph in this dataset   0.0 meV per atom

Number 2 is which compound? TlVC2

What is the formula in the second record? TlVC2

The highest formation enthalpy at 0 K belongs to which entry? TlVC2

What is the formula in the second record? TlVC2